Zr3Te5 | PBE-GGA | relaxed

Its uncorrected formation energy is -10.1 kcal/mol of atoms. The total moment is 0.00 μB per formula unit.

Cell lengths 7.458, 10.236, 5.169 Å; angles 90.00, 90.00, 90.00 degrees
Space group Cmmm (No. 65)
Unique sites:
Zr  0.000  0.000  0.000
Zr  0.000  0.239  0.500
Te  0.000  0.500  0.000
Te  0.221  0.000  0.500
Te  0.250  0.250  0.000